CaIn2Si after structural relaxation. Source: Alexandria, functional PBE. Values from VASP.

Cell and atoms, written as Quantum ESPRESSO input:
```
&SYSTEM
  ibrav = 0, nat = 4, ntyp = 3
/
ATOMIC_SPECIES
Ca 40.08 Ca.upf
In 114.82 In.upf
Si 28.09 Si.upf
CELL_PARAMETERS angstrom
3.740 0.000 0.000
0.000 3.845 0.000
0.000 0.000 6.892
ATOMIC_POSITIONS angstrom
Ca 1.870 1.923 5.061
In 0.000 0.000 0.238
In 1.870 1.923 1.904
Si 0.000 0.000 3.136
```

Values from the calculation:
magnetization: 0.00 Bohr magnetons per cell
uncorrected formation energy: -90 meV/atom

=====

CaIn2Si after structural relaxation. Source: Alexandria, functional PBE. Values from VASP.

Cell and atoms, written as Quantum ESPRESSO input:
```
&SYSTEM
  ibrav = 0, nat = 4, ntyp = 3
/
ATOMIC_SPECIES
Ca 40.08 Ca.upf
In 114.82 In.upf
Si 28.09 Si.upf
CELL_PARAMETERS angstrom
-1.034 -2.865 -4.139
-1.874 -4.763 -0.467
-5.691 -0.135 -1.371
ATOMIC_POSITIONS angstrom
Ca -2.100 -1.697 -1.357
In -5.415 -0.149 -1.315
In -6.135 -6.063 -4.536
Si -4.941 -3.869 -3.129
```

Values from the calculation:
magnetization: 0.00 Bohr magnetons per cell
uncorrected formation energy: -97 meV/atom

=====

CaIn2Si after structural relaxation. Source: Alexandria, functional PBE. Values from VASP.

Cell and atoms, written as Quantum ESPRESSO input:
```
&SYSTEM
  ibrav = 0, nat = 4, ntyp = 3
/
ATOMIC_SPECIES
Ca 40.08 Ca.upf
In 114.82 In.upf
Si 28.09 Si.upf
CELL_PARAMETERS angstrom
5.878 0.051 0.032
2.457 5.340 -0.032
-4.012 -2.935 3.136
ATOMIC_POSITIONS angstrom
Ca 2.813 -0.226 1.584
In 0.006 0.004 0.000
In 1.615 2.750 1.552
Si 4.056 2.623 0.000
```

Values from the calculation:
magnetization: 0.00 Bohr magnetons per cell
uncorrected formation energy: -99 meV/atom

=====

CaIn2Si after structural relaxation. Source: Alexandria, functional PBE. Values from VASP.

Cell and atoms, written as Quantum ESPRESSO input:
```
&SYSTEM
  ibrav = 0, nat = 4, ntyp = 3
/
ATOMIC_SPECIES
Ca 40.08 Ca.upf
In 114.82 In.upf
Si 28.09 Si.upf
CELL_PARAMETERS angstrom
-4.431 1.039 3.212
4.117 -2.678 2.629
1.387 3.044 0.928
ATOMIC_POSITIONS angstrom
Ca 2.752 0.183 1.779
In 0.000 0.000 0.000
In -0.157 -0.819 2.921
Si -1.522 2.042 2.070
```

Values from the calculation:
magnetization: 0.00 Bohr magnetons per cell
uncorrected formation energy: -7 meV/atom

=====

Ca2InSi2 after structural relaxation. Source: Alexandria, functional PBE. Values from VASP.

Cell and atoms, written as Quantum ESPRESSO input:
```
&SYSTEM
  ibrav = 0, nat = 5, ntyp = 3
/
ATOMIC_SPECIES
Ca 40.08 Ca.upf
Si 28.09 Si.upf
In 114.82 In.upf
CELL_PARAMETERS angstrom
4.968 0.000 0.000
0.000 4.968 0.000
2.484 2.484 5.666
ATOMIC_POSITIONS angstrom
Ca 4.968 2.484 2.833
Ca 2.484 4.968 2.833
Si 2.484 2.484 1.117
Si 4.968 4.968 4.549
In 0.000 0.000 0.000
```

Values from the calculation:
magnetization: 0.00 Bohr magnetons per cell
uncorrected formation energy: -57 meV/atom

=====

CaIn2SiW after structural relaxation. Source: Alexandria, functional PBE. Values from VASP.

Cell and atoms, written as Quantum ESPRESSO input:
```
&SYSTEM
  ibrav = 0, nat = 5, ntyp = 4
/
ATOMIC_SPECIES
Ca 40.08 Ca.upf
Si 28.09 Si.upf
W 183.84 W.upf
In 114.82 In.upf
CELL_PARAMETERS angstrom
-2.123 -4.824 -0.402
3.183 -1.118 -3.398
3.330 -1.774 3.702
ATOMIC_POSITIONS angstrom
Ca 2.195 -3.858 -0.049
Si 1.591 -0.559 -1.699
W 0.000 0.000 0.000
In 1.665 -0.887 1.851
In -1.062 -2.412 -0.201
```

Values from the calculation:
magnetization: 0.00 Bohr magnetons per cell
uncorrected formation energy: 211 meV/atom

=====

Which value of magnetization does entry 4 give?
0.00 Bohr magnetons per cell

=====

Which of these has the lowest uncorrected formation energy?
number 3